No. 1
# CaAcPr5 | Alexandria via LeMat-Bulk | PBE | optimized geometry
# total DFT energy (no corrections): -4.194 eV per atom
# calculated density: 6.00 Mg/m³
data_CaAcPr5
_symmetry_space_group_name_H-M 'C 1 2/c 1'
_symmetry_Int_Tables_number 15
_cell_length_a 9.1179
_cell_length_b 10.4264
_cell_length_c 11.8760
_cell_angle_alpha 90.00
_cell_angle_beta 107.79
_cell_angle_gamma 90.00
loop_
_symmetry_equiv_pos_as_xyz
'x,y,z'
'-x,-y,-z'
'-x,y,-z+1/2'
'x,-y,z+1/2'
'x+1/2,y+1/2,z'
'-x+1/2,-y+1/2,-z'
'-x+1/2,y+1/2,-z+1/2'
'x+1/2,-y+1/2,z+1/2'
loop_
_atom_site_label
_atom_site_type_symbol
_atom_site_fract_x
_atom_site_fract_y
_atom_site_fract_z
Ca1 Ca 0.0000 0.2393 0.2500
Ac1 Ac 0.2500 0.2500 0.0000
Pr1 Pr 0.0000 0.4175 0.7500
Pr2 Pr 0.1223 0.0758 0.6658
Pr3 Pr 0.1731 0.4026 0.5354

---

No. 2
# GaSBr3 | Alexandria via LeMat-Bulk | PBE | optimized geometry
# offset from the most stable computed form: 0.0 meV/atom
# E_form (uncorrected): -0.020 eV/atom
# calculated density: 3.92 Mg/m³
data_GaSBr3
_symmetry_space_group_name_H-M 'P m -3 m'
_symmetry_Int_Tables_number 221
_symmetry_space_group_name_Hall '-P 4 2 3'
_cell_length_a 5.2481
_cell_length_b 5.2481
_cell_length_c 5.2481
_cell_angle_alpha 90.00
_cell_angle_beta 90.00
_cell_angle_gamma 90.00
loop_
_atom_site_label
_atom_site_type_symbol
_atom_site_fract_x
_atom_site_fract_y
_atom_site_fract_z
Ga1 Ga 0.0000 0.0000 0.0000
S1 S 0.5000 0.5000 0.5000
Br1 Br 0.0000 0.5000 0.5000